(1)
! TmTh2Sc2 GGA-PBE relaxed; values from VASP
&SYSTEM
  ibrav = 0, nat = 20, ntyp = 3
/
ATOMIC_SPECIES
Sc 44.96 Sc.upf
Tm 168.93 Tm.upf
Th 232.04 Th.upf
CELL_PARAMETERS angstrom
-3.566 -3.170 3.699
5.522 -3.106 2.663
-0.177 8.911 10.760
ATOMIC_POSITIONS angstrom
Sc 2.879 0.268 5.430
Sc 2.476 -2.093 7.945
Sc -1.099 2.367 11.692
Sc -0.696 4.728 9.177
Sc 0.289 -3.867 6.051
Sc 1.490 6.502 11.072
Sc -1.627 5.668 12.278
Sc 3.407 -3.033 4.844
Tm 2.037 3.184 10.506
Tm 1.678 0.798 13.042
Tm 0.102 1.837 4.080
Tm -0.258 -0.549 6.616
Th -2.056 1.718 8.499
Th 4.221 4.930 12.488
Th -2.441 -2.295 4.635
Th 0.703 -1.476 3.441
Th 1.100 2.531 7.311
Th 3.835 0.917 8.624
Th 0.680 0.104 9.812
Th 1.076 4.111 13.681
! Space-group type ... P2_1/c
! Formation energy from the elements ... 0.028 eV/atom
! Excess energy over the best structure of this formula in the dataset ... 0 meV/atom
! Magnetic moment ... 0.00 μB/f.u.
! Calculated total energy ... -127.35 eV for the cell shown

(2)
! NaZn6O6 GGA-PBE relaxed; values from VASP
&SYSTEM
  ibrav = 0, nat = 13, ntyp = 3
/
ATOMIC_SPECIES
O 16.00 O.upf
Zn 65.41 Zn.upf
Na 22.99 Na.upf
CELL_PARAMETERS angstrom
5.741 0.000 0.000
0.000 5.741 0.000
0.000 0.000 5.741
ATOMIC_POSITIONS angstrom
O 0.000 2.871 1.409
O 0.000 2.871 4.332
O 2.871 4.332 0.000
O 4.332 0.000 2.871
O 2.871 1.409 0.000
O 1.409 0.000 2.871
Zn 2.871 0.000 4.273
Zn 0.000 4.273 2.871
Zn 2.871 0.000 1.468
Zn 0.000 1.468 2.871
Zn 4.273 2.871 0.000
Zn 1.468 2.871 0.000
Na 0.000 0.000 0.000
! Space-group type ... Pm-3
! Magnetic moment ... 0.00 μB/f.u.
! Calculated total energy ... -55.05 eV for the cell shown

(3)
! BaRh2Se GGA-PBE relaxed; values from VASP
&SYSTEM
  ibrav = 0, nat = 4, ntyp = 3
/
ATOMIC_SPECIES
Ba 137.33 Ba.upf
Rh 102.91 Rh.upf
Se 78.96 Se.upf
CELL_PARAMETERS angstrom
4.498 0.000 0.000
0.000 4.498 0.000
0.000 0.000 4.089
ATOMIC_POSITIONS angstrom
Ba 0.000 2.249 2.044
Rh 2.249 2.249 0.000
Rh 0.000 0.000 0.000
Se 2.249 0.000 2.044
! Space-group type ... P4/mmm
! Magnetic moment ... 0.00 μB/f.u.
! Calculated total energy ... -19.86 eV for the cell shown

(4)
! SrLiH3 GGA-PBE relaxed; values from VASP
&SYSTEM
  ibrav = 0, nat = 5, ntyp = 3
/
ATOMIC_SPECIES
Sr 87.62 Sr.upf
H 1.01 H.upf
Li 6.94 Li.upf
CELL_PARAMETERS angstrom
-1.395 3.188 2.627
-0.514 -2.885 3.228
4.619 0.815 1.463
ATOMIC_POSITIONS angstrom
Sr 1.034 0.182 0.328
H 1.524 -1.128 2.178
H 3.416 0.603 1.082
H 1.084 1.908 1.878
Li 1.490 0.583 3.702
! Space-group type ... P4mm
! Excess energy over the best structure of this formula in the dataset ... 340 meV/atom
! Magnetic moment ... 0.00 μB/f.u.
! Calculated total energy ... -14.59 eV for the cell shown

(5)
! BaIr2Rh GGA-PBE relaxed; values from VASP
&SYSTEM
  ibrav = 0, nat = 4, ntyp = 3
/
ATOMIC_SPECIES
Ba 137.33 Ba.upf
Rh 102.91 Rh.upf
Ir 192.22 Ir.upf
CELL_PARAMETERS angstrom
4.622 0.000 0.000
0.000 2.961 -0.002
0.000 1.313 6.052
ATOMIC_POSITIONS angstrom
Ba 2.311 0.657 3.026
Rh 2.311 1.480 -0.001
Ir 0.000 2.239 1.048
Ir 0.000 2.035 5.001
! Space-group type ... P2/m
! Formation energy from the elements ... 0.523 eV/atom
! Excess energy over the best structure of this formula in the dataset ... 556 meV/atom
! Magnetic moment ... 0.00 μB/f.u.
! Calculated total energy ... -24.90 eV for the cell shown

(6)
! Mn2VNi6 GGA-PBE relaxed; values from VASP
&SYSTEM
  ibrav = 0, nat = 9, ntyp = 3
/
ATOMIC_SPECIES
Ni 58.69 Ni.upf
Mn 54.94 Mn.upf
V 50.94 V.upf
CELL_PARAMETERS angstrom
-4.092 -0.546 -3.572
3.032 1.100 -3.642
-0.577 -4.633 1.369
ATOMIC_POSITIONS angstrom
Ni -0.685 -3.741 -0.133
Ni -0.406 -1.506 -0.793
Ni -2.415 -0.868 -3.955
Ni -0.952 -0.337 -5.712
Ni -1.231 -2.572 -5.051
Ni 0.778 -3.210 -1.890
Mn -1.884 -3.057 -2.492
Mn 0.246 -1.022 -3.353
V -2.046 -0.273 -1.786
! Space-group type ... P-3m1
! Formation energy from the elements ... 0.043 eV/atom
! Excess energy over the best structure of this formula in the dataset ... 4 meV/atom
! Magnetic moment ... 8.42 μB/f.u.
! Calculated total energy ... -61.76 eV for the cell shown

(7)
! NdPdPb2 GGA-PBE relaxed; values from VASP
&SYSTEM
  ibrav = 0, nat = 4, ntyp = 3
/
ATOMIC_SPECIES
Pd 106.42 Pd.upf
Pb 207.20 Pb.upf
Nd 144.24 Nd.upf
CELL_PARAMETERS angstrom
4.640 0.000 0.000
0.000 4.681 0.000
0.000 0.000 4.681
ATOMIC_POSITIONS angstrom
Pd 2.320 0.000 0.000
Pb 0.000 0.000 2.341
Pb 0.000 2.341 0.000
Nd 2.320 2.341 2.341
! Space-group type ... P4/mmm
! Formation energy from the elements ... -0.414 eV/atom
! Excess energy over the best structure of this formula in the dataset ... 109 meV/atom
! Magnetic moment ... 0.00 μB/f.u.
! Calculated total energy ... -19.03 eV for the cell shown

(8)
! YPb GGA-PBE relaxed; values from VASP
&SYSTEM
  ibrav = 0, nat = 4, ntyp = 2
/
ATOMIC_SPECIES
Pb 207.20 Pb.upf
Y 88.91 Y.upf
CELL_PARAMETERS angstrom
-0.059 -0.400 3.635
1.968 -2.293 -2.060
8.053 6.185 0.811
ATOMIC_POSITIONS angstrom
Pb 3.306 -0.115 0.041
Pb 6.657 3.608 2.345
Y 4.027 3.093 0.406
Y 0.000 0.000 0.000
! Space-group type ... P6_3/mmc
! Formation energy from the elements ... -0.371 eV/atom
! Magnetic moment ... 0.00 μB/f.u.
! Calculated total energy ... -21.83 eV for the cell shown

Which value of calculated total energy does entry 7 give?
-19.03 eV for the cell shown

Look up the calculated total energy of the seventh one.
-19.03 eV for the cell shown

Number 1 is which compound?
TmTh2Sc2

Among the records above, which one has the highest calculated total energy?
SrLiH3